The following is a DFT calculation (SCAN) of LaMnIn at its PBEsol-relaxed geometry.

a b c (Å): 3.7254 4.7975 4.7975
angles (deg): 120.00 90.00 90.00
Each line ends with the local moment (μB).
Fractional coordinates of all 3 atoms:
In  0.5000  0.0000  0.0000  -0.05
La  0.0000  0.3333  0.6667  -0.18
Mn  0.5000  0.6667  0.3333  4.10

Properties
Space group = No. 187
Energy relative to the elements = -0.4177 eV per atom
Size of the total moment = 3.8 μB/f.u.
Volume = 74 Å³/f.u.
Crystal system = hexagonal

---

The following is a DFT calculation (SCAN) of ScFe2Ni2 at its PBEsol-relaxed geometry.

a b c (Å): 3.5542 3.5542 5.8642
angles (deg): 107.64 107.64 90.00
Each line ends with the local moment (μB).
Fractional coordinates of all 5 atoms:
Fe  0.2500  0.7500  0.5000  2.81
Fe  0.7500  0.2500  0.5000  2.81
Ni  0.6056  0.6056  0.2112  0.59
Ni  0.3944  0.3944  0.7888  0.59
Sc  0.0000  0.0000  0.0000  -0.26

Properties
Space group = No. 139
Energy relative to the elements = -0.1351 eV per atom
Size of the total moment = 6.2 μB/f.u.
Volume = 67 Å³/f.u.
Crystal system = tetragonal

---

The following is a DFT calculation (SCAN) of TcSbPb2 at its PBEsol-relaxed geometry.

a b c (Å): 3.3453 3.3453 8.1475
angles (deg): 90.00 90.00 90.00
Fractional coordinates of all 4 atoms:
Pb  0.0000  0.0000  0.7015
Pb  0.0000  0.0000  0.2985
Sb  0.5000  0.5000  0.0000
Tc  0.5000  0.5000  0.5000

Properties
Space group = No. 123
Size of the total moment = 0.0 μB/f.u.
VASP energy = -221.6 eV per cell
Volume = 91 Å³/f.u.
Crystal system = tetragonal